ZrCo3Si after structural relaxation, computed with PBE.

Lattice parameters (Å, degrees): 4.165 4.165 4.165 90.00 90.00 90.00
Element x y z (fractional)
Zr (0.000, 0.000, 0.000)
Co (0.000, 0.500, 0.500)
Co (0.500, 0.000, 0.500)
Co (0.500, 0.500, 0.000)
Si (0.500, 0.500, 0.500)

Values from the calculation:
spin magnetization	1.003	μB/f.u.
D(E_F)	6.12	states/eV/f.u.
SG	No. 221
E_tot	-6.9982	eV per atom
ΔE_f (raw)	0.060	eV/atom